#w
This record from Alexandria describes a relaxed structure of CsFeF2. The functional is GGA+U.

Computed properties:
Crystal system = cubic
Space group = Fm-3m (225)

Structure (POSCAR):
```
CsFeF2
1.0
0.051 -3.364 -3.292
0.843 -4.469 1.214
-3.467 -3.179 -0.171
Cs Fe F
1 1 2
Direct
0.500 0.500 0.500
0.000 0.000 0.000
0.250 0.250 0.250
0.750 0.750 0.750
```

#x
This record from Alexandria describes a relaxed structure of CsFeF2. The functional is GGA+U.

Computed properties:
Crystal system = trigonal
Space group = R-3m (166)

Structure (POSCAR):
```
CsFeF2
1.0
-5.957 4.770 -0.248
-5.423 3.845 3.755
-3.044 6.723 1.959
Cs Fe F
1 1 2
Direct
0.500 0.500 0.500
0.000 0.000 0.000
0.912 0.912 0.912
0.088 0.088 0.088
```

What should be chosen as the least stable of them? Choose #w.